# 1
Density functional theory data (GGA-PBE) for TlSi4Sb after structural relaxation.

Values from the calculation:
- density of states at the Fermi level (states/eV per cell) = 3.5
- VASP energy (eV per cell) = -24.83

a = 5.489 Å, b = 5.489 Å, c = 5.489 Å
α = 60.00°, β = 60.00°, γ = 60.00°
Sites, in units of the cell vectors:
Tl1 0.750 0.750 0.750
Si1 0.874 0.375 0.375
Si2 0.375 0.375 0.874
Si3 0.375 0.874 0.375
Si4 0.375 0.375 0.375
Sb1 0.000 0.000 0.000

***

# 2
Density functional theory data (GGA-PBE) for MgTc2Ir after structural relaxation.

Values from the calculation:
- density of states at the Fermi level (states/eV per cell) = 3.8
- VASP energy (eV per cell) = -30.84

a = 4.981 Å, b = 4.981 Å, c = 2.745 Å
α = 89.82°, β = 89.82°, γ = 118.34°
Sites, in units of the cell vectors:
Ir1 0.500 0.000 0.500
Mg1 0.000 0.500 0.500
Tc1 0.000 0.000 0.000
Tc2 0.500 0.500 0.000

***

# 3
Density functional theory data (GGA-PBE) for BaCaHg2Rh after structural relaxation.

Values from the calculation:
- density of states at the Fermi level (states/eV per cell) = 2.9
- VASP energy (eV per cell) = -13.45

a = 5.447 Å, b = 5.447 Å, c = 5.117 Å
α = 90.00°, β = 90.00°, γ = 90.00°
Sites, in units of the cell vectors:
Ca1 0.000 0.000 0.500
Rh1 0.000 0.000 0.000
Hg1 0.000 0.500 0.000
Hg2 0.500 0.000 0.000
Ba1 0.500 0.500 0.500

***

# 4
Density functional theory data (GGA-PBE) for HfNbReNi after structural relaxation.

Values from the calculation:
- density of states at the Fermi level (states/eV per cell) = 3.4
- VASP energy (eV per cell) = -39.34

a = 4.523 Å, b = 4.523 Å, c = 4.523 Å
α = 60.00°, β = 60.00°, γ = 60.00°
Sites, in units of the cell vectors:
Re1 0.750 0.750 0.750
Nb1 0.500 0.500 0.500
Hf1 0.000 0.000 0.000
Ni1 0.250 0.250 0.250

***

# 5
Density functional theory data (GGA-PBE) for LiHf5Ir6 after structural relaxation.

Values from the calculation:
- density of states at the Fermi level (states/eV per cell) = 4.6
- VASP energy (eV per cell) = -115.33

a = 4.395 Å, b = 7.783 Å, c = 7.783 Å
α = 115.46°, β = 106.39°, γ = 106.39°
Sites, in units of the cell vectors:
Ir1 0.256 0.088 0.424
Ir2 0.744 0.576 0.912
Ir3 0.763 0.264 0.264
Ir4 0.237 0.736 0.736
Ir5 0.256 0.424 0.088
Ir6 0.744 0.912 0.576
Hf1 0.500 0.151 0.849
Hf2 0.000 0.327 0.673
Hf3 0.500 0.500 0.500
Hf4 0.000 0.673 0.327
Hf5 0.500 0.849 0.151
Li1 0.000 0.000 0.000

***

# 6
Density functional theory data (GGA-PBE) for Ti4VGa3 after structural relaxation.

Values from the calculation:
- density of states at the Fermi level (states/eV per cell) = 14.2
- VASP energy (eV per cell) = -102.62
- distance to the lowest polymorph of the same formula (meV/atom) = 189

a = 4.220 Å, b = 6.867 Å, c = 8.838 Å
α = 90.00°, β = 90.00°, γ = 90.00°
Sites, in units of the cell vectors:
Ti1 0.064 0.875 0.000
Ti2 0.564 0.145 0.000
Ti3 0.064 0.133 0.242
Ti4 0.564 0.867 0.258
Ti5 0.064 0.855 0.500
Ti6 0.564 0.125 0.500
Ti7 0.564 0.867 0.742
Ti8 0.064 0.133 0.758
V1 0.064 0.399 0.000
V2 0.564 0.601 0.500
Ga1 0.564 0.628 0.000
Ga2 0.065 0.619 0.258
Ga3 0.565 0.381 0.242
Ga4 0.064 0.372 0.500
Ga5 0.565 0.381 0.758
Ga6 0.065 0.619 0.742

***

# 7
Density functional theory data (GGA-PBE) for Cd2ReAs after structural relaxation.

Values from the calculation:
- density of states at the Fermi level (states/eV per cell) = 2.5
- VASP energy (eV per cell) = -16.26

a = 5.157 Å, b = 5.157 Å, c = 5.157 Å
α = 132.04°, β = 132.04°, γ = 70.17°
Last column: magnetic moment on the atom in μB.
Sites, in units of the cell vectors:
Re1 0.500 0.500 0.000  1.31
As1 0.750 0.250 0.500  0.01
Cd1 0.000 0.000 0.000  0.00
Cd2 0.250 0.750 0.500  0.00

***

# 8
Density functional theory data (GGA-PBE) for Tl3FeBi2Se6 after structural relaxation.

Values from the calculation:
- density of states at the Fermi level (states/eV per cell) = 3.9
- VASP energy (eV per cell) = -48.38

a = 7.202 Å, b = 7.202 Å, c = 7.924 Å
α = 98.72°, β = 98.72°, γ = 119.80°
Last column: magnetic moment on the atom in μB.
Sites, in units of the cell vectors:
Tl1 0.175 0.825 0.500  0.03
Tl2 0.825 0.175 0.500  0.03
Tl3 0.500 0.500 0.500  0.03
Fe1 0.000 0.000 0.000  3.50
Bi1 0.334 0.666 0.000  0.04
Bi2 0.666 0.334 0.000  0.04
Se1 0.934 0.634 0.800  0.09
Se2 0.768 0.768 0.207  0.09
Se3 0.066 0.366 0.200  0.09
Se4 0.634 0.934 0.800  0.09
Se5 0.232 0.232 0.793  0.09
Se6 0.366 0.066 0.200  0.09

***

- The lowest density of states at the Fermi level belongs to which entry?
  Cd2ReAs